[1]
NaFeRe2Ir | PBE | optimized geometry

Its volume is 16.61 A^3/atom. As for the crystal system: tetragonal. As for the formation energy: 3.11 eV/atom.

The space group is P4/mmm (No. 123) and the conventional cell measures 4.375, 4.375 and 4.341 Å, with angles of 90.00, 90.00 and 90.00 degrees. The asymmetric unit holds Na at (0.000, 0.000, 0.000), Fe at (0.500, 0.500, 0.500), Re at (0.000, 0.500, 0.000) and Ir at (0.000, 0.000, 0.500).

***

[2]
NaFeIrRu2 | PBE | optimized geometry

Its volume is 16.55 A^3/atom. As for the crystal system: tetragonal. As for the formation energy: 2.67 eV/atom.

The space group is P4/mmm (No. 123) and the conventional cell measures 4.336, 4.336 and 4.402 Å, with angles of 90.00, 90.00 and 90.00 degrees. The asymmetric unit holds Na at (0.000, 0.000, 0.000), Fe at (0.500, 0.500, 0.500), Ir at (0.000, 0.000, 0.500) and Ru at (0.000, 0.500, 0.000).

***

[3]
NaTaFe2Ir | PBE | optimized geometry

Its volume is 19.11 A^3/atom. As for the crystal system: tetragonal. As for the formation energy: 1.96 eV/atom.

The space group is P4/mmm (No. 123) and the conventional cell measures 4.405, 4.405 and 4.926 Å, with angles of 90.00, 90.00 and 90.00 degrees. The asymmetric unit holds Na at (0.000, 0.000, 0.000), Ta at (0.000, 0.000, 0.500), Fe at (0.000, 0.500, 0.500) and Ir at (0.500, 0.500, 0.000).